# 1
# SrErAuS3

A geometry-optimized SrErAuS3 structure (PBE, OQMD).

Cell: 7.789 3.975 9.394 Å, 90.00 105.73 90.00°
Fractional coordinates of all 12 atoms:
Er: 0.186 0.250 0.661
Sr: 0.263 0.750 0.225
S: 0.428 0.750 0.656
Au: 0.380 0.750 0.910
S: 0.200 0.250 0.961
S: 0.935 0.750 0.638
Sr: 0.737 0.250 0.775
S: 0.572 0.250 0.344
Au: 0.620 0.250 0.090
S: 0.065 0.250 0.362
S: 0.800 0.750 0.039
Er: 0.814 0.750 0.339

crystal system = monoclinic
VASP energy = -5.199 eV per atom


# 2
# SrErAuS3

A geometry-optimized SrErAuS3 structure (PBE, OQMD).

Cell: 3.998 10.875 12.712 Å, 90.00 90.00 90.00°
Fractional coordinates of all 24 atoms:
Au: 0.750 0.231 0.300
S: 0.750 0.458 0.112
Sr: 0.750 0.527 0.685
Sr: 0.250 0.473 0.315
S: 0.750 0.042 0.612
S: 0.250 0.542 0.888
S: 0.250 0.184 0.190
Au: 0.250 0.769 0.700
Er: 0.250 0.332 0.012
Au: 0.250 0.731 0.200
S: 0.250 0.316 0.690
Er: 0.250 0.168 0.512
S: 0.250 0.958 0.388
S: 0.250 0.661 0.535
Er: 0.750 0.832 0.488
S: 0.750 0.816 0.810
Au: 0.750 0.269 0.800
S: 0.750 0.684 0.310
S: 0.750 0.161 0.965
Sr: 0.750 0.973 0.185
Er: 0.750 0.668 0.988
S: 0.250 0.839 0.035
Sr: 0.250 0.027 0.815
S: 0.750 0.339 0.465

crystal system = orthorhombic
VASP energy = -5.153 eV per atom


# 3
# SrErTeAuS2

A geometry-optimized SrErTeAuS2 structure (PBE, OQMD).

Cell: 7.530 7.530 10.942 Å, 90.00 90.00 148.80°
Fractional coordinates of all 12 atoms:
Te: 0.612 0.388 0.250
Sr: 0.295 0.705 0.250
Er: 0.500 0.500 0.000
Au: 0.019 0.981 0.750
S: 0.879 0.121 0.065
S: 0.121 0.879 0.935
Er: 0.500 0.500 0.500
Te: 0.388 0.612 0.750
S: 0.879 0.121 0.435
Au: 0.981 0.019 0.250
S: 0.121 0.879 0.565
Sr: 0.705 0.295 0.750

crystal system = orthorhombic
VASP energy = -4.873 eV per atom


# 4
# Er3Sb4Au3

A geometry-optimized Er3Sb4Au3 structure (PBE, OQMD).

Cell: 8.537 8.537 8.537 Å, 109.47 109.47 109.47°
Fractional coordinates of all 20 atoms:
Sb: 0.819 0.319 0.819
Au: 0.875 0.625 0.750
Sb: 0.500 0.500 0.681
Sb: 0.681 0.000 0.000
Er: 0.250 0.625 0.875
Sb: 0.000 0.681 0.500
Au: 0.250 0.125 0.375
Sb: 0.000 0.181 0.500
Au: 0.375 0.750 0.625
Au: 0.750 0.375 0.125
Sb: 0.319 0.819 0.319
Er: 0.375 0.125 0.750
Au: 0.625 0.875 0.250
Er: 0.875 0.750 0.125
Au: 0.125 0.250 0.875
Sb: 0.181 0.000 0.000
Er: 0.750 0.875 0.625
Er: 0.625 0.250 0.375
Sb: 0.500 0.500 0.181
Er: 0.125 0.375 0.250

crystal system = cubic
VASP energy = -4.784 eV per atom


- The lowest VASP energy belongs to which entry?
  number 1


Repeat the fourth record exactly.
# Er3Sb4Au3

A geometry-optimized Er3Sb4Au3 structure (PBE, OQMD).

Cell: 8.537 8.537 8.537 Å, 109.47 109.47 109.47°
Fractional coordinates of all 20 atoms:
Sb: 0.819 0.319 0.819
Au: 0.875 0.625 0.750
Sb: 0.500 0.500 0.681
Sb: 0.681 0.000 0.000
Er: 0.250 0.625 0.875
Sb: 0.000 0.681 0.500
Au: 0.250 0.125 0.375
Sb: 0.000 0.181 0.500
Au: 0.375 0.750 0.625
Au: 0.750 0.375 0.125
Sb: 0.319 0.819 0.319
Er: 0.375 0.125 0.750
Au: 0.625 0.875 0.250
Er: 0.875 0.750 0.125
Au: 0.125 0.250 0.875
Sb: 0.181 0.000 0.000
Er: 0.750 0.875 0.625
Er: 0.625 0.250 0.375
Sb: 0.500 0.500 0.181
Er: 0.125 0.375 0.250

crystal system = cubic
VASP energy = -4.784 eV per atom


Repeat the fourth record exactly.
# Er3Sb4Au3

A geometry-optimized Er3Sb4Au3 structure (PBE, OQMD).

Cell: 8.537 8.537 8.537 Å, 109.47 109.47 109.47°
Fractional coordinates of all 20 atoms:
Sb: 0.819 0.319 0.819
Au: 0.875 0.625 0.750
Sb: 0.500 0.500 0.681
Sb: 0.681 0.000 0.000
Er: 0.250 0.625 0.875
Sb: 0.000 0.681 0.500
Au: 0.250 0.125 0.375
Sb: 0.000 0.181 0.500
Au: 0.375 0.750 0.625
Au: 0.750 0.375 0.125
Sb: 0.319 0.819 0.319
Er: 0.375 0.125 0.750
Au: 0.625 0.875 0.250
Er: 0.875 0.750 0.125
Au: 0.125 0.250 0.875
Sb: 0.181 0.000 0.000
Er: 0.750 0.875 0.625
Er: 0.625 0.250 0.375
Sb: 0.500 0.500 0.181
Er: 0.125 0.375 0.250

crystal system = cubic
VASP energy = -4.784 eV per atom